Below is a geometry-optimized Pr3Nd3Zn2Ga structure, with properties calculated at the PBE level.

Calculated volume = 257.5 Å³ per cell
Calculated formation energy = -0.2055 eV/atom
VASP energy = -4.007 eV/atom

The structure in CIF format:
```
data_Pr3Nd3Zn2Ga
_chemical_formula_sum 'Pr3 Nd3 Zn2 Ga1'
_cell_length_a 8.9761
_cell_length_b 8.9761
_cell_length_c 3.6908
_cell_angle_alpha 90.00
_cell_angle_beta 90.00
_cell_angle_gamma 120.00
_space_group_name_H-M_alt 'P -6 2 m'
_space_group_IT_number 189
_space_group_name_Hall 'P -6 -2'
loop_
_atom_site_label
_atom_site_fract_x
_atom_site_fract_y
_atom_site_fract_z
Pr1 0.0000 0.3953 0.0000
Nd1 0.0000 0.7262 0.5000
Zn1 0.3333 0.6667 0.5000
Ga1 0.0000 0.0000 0.0000
```